1.
First-principles (GGA-PBE) data for crystalline Pu4SbTe3 at its relaxed geometry, as listed in Alexandria via LeMat-Bulk.

uncorrected formation energy	-0.94	eV/atom
relative energy among the computed polymorphs	4	meV per atom
magnetization	0.1	μB per formula unit
calculated total energy	-0.3602	Ha/atom

Structure (POSCAR):
```
Pu4SbTe3
1.0
-1.129 4.789 -3.870
-6.046 -1.605 -0.222
2.419 2.128 6.989
Pu Te Sb
4 3 1
Cartesian
-4.176 3.463 0.441
-0.565 2.394 -1.935
-3.023 -0.802 -0.111
-0.581 1.849 2.457
-3.588 1.592 -2.046
-1.149 4.254 0.537
-3.608 1.057 2.361
0.000 0.000 0.000
```



2.
First-principles (GGA-PBE) data for crystalline Pu8Sb5Te at its relaxed geometry, as listed in Alexandria via LeMat-Bulk.

uncorrected formation energy	-0.70	eV/atom
magnetization	47.0	μB per formula unit
calculated total energy	-0.3890	Ha/atom

Structure (POSCAR):
```
Pu8Sb5Te
1.0
7.602 0.000 -2.638
-3.782 6.568 -2.705
-0.038 0.000 8.047
Sb Pu Te
5 8 1
Cartesian
3.323 5.760 -2.675
3.782 0.000 2.705
3.319 4.109 1.381
-1.402 2.459 -0.010
2.325 0.807 6.714
-1.890 4.924 -2.094
1.190 1.644 1.593
1.342 3.913 -1.058
3.215 2.655 4.316
-1.931 4.927 1.882
6.979 0.604 2.971
4.939 1.641 0.268
1.285 5.964 2.940
-0.019 3.284 4.023
```



uncorrected formation energy of number 1 (Pu4SbTe3)?
-0.94 eV/atom



The highest uncorrected formation energy belongs to which entry?
Pu8Sb5Te



Please write out number 2 again, unchanged.
First-principles (GGA-PBE) data for crystalline Pu8Sb5Te at its relaxed geometry, as listed in Alexandria via LeMat-Bulk.

uncorrected formation energy	-0.70	eV/atom
magnetization	47.0	μB per formula unit
calculated total energy	-0.3890	Ha/atom

Structure (POSCAR):
```
Pu8Sb5Te
1.0
7.602 0.000 -2.638
-3.782 6.568 -2.705
-0.038 0.000 8.047
Sb Pu Te
5 8 1
Cartesian
3.323 5.760 -2.675
3.782 0.000 2.705
3.319 4.109 1.381
-1.402 2.459 -0.010
2.325 0.807 6.714
-1.890 4.924 -2.094
1.190 1.644 1.593
1.342 3.913 -1.058
3.215 2.655 4.316
-1.931 4.927 1.882
6.979 0.604 2.971
4.939 1.641 0.268
1.285 5.964 2.940
-0.019 3.284 4.023
```